Entry from Alexandria: a relaxed AlHBr crystal (PBE-GGA).

Summary:
SG: P-1
Magnetization: 0.0000 μB per atom
Density of states at the Fermi level: 0.000 states/eV per atom

Lattice parameters (Å, degrees): 3.6760 4.5380 8.2521 92.34 92.23 111.42
Last column: nearest neighbours and their distance in Å.
Fractional positions:
1 Al 0.0649 0.2599 0.0847  1 H 1.67
2 Al 0.9351 0.7401 0.9153  1 H 1.67
3 H 0.3069 0.6447 0.0586  1 Al 1.67
4 H 0.6931 0.3553 0.9414  1 Al 1.67
5 Br 0.3750 0.7268 0.7033  2 Al 2.44-2.63
6 Br 0.6250 0.2732 0.2967  2 Al 2.44-2.63


Entry from Alexandria: a relaxed HfSi2GePt crystal (PBE-GGA).

Summary:
SG: P4/mmm
Magnetization: 0.0000 μB per atom
Density of states at the Fermi level: 0.665 states/eV per atom

Lattice parameters (Å, degrees): 4.5387 4.5387 5.0280 90.00 90.00 90.00
Last column: nearest neighbours and their distance in Å.
Fractional positions:
1 Hf 0.0000 0.0000 0.0000  2 Ge 2.51
2 Si 0.0000 0.5000 0.5000  2 Ge 2.27
3 Si 0.5000 0.0000 0.5000  2 Ge 2.27
4 Ge 0.0000 0.0000 0.5000  4 Si 2.27, 2 Hf 2.51
5 Pt 0.5000 0.5000 0.0000  4 Hf 3.21, 8 Si 3.39


Entry from Alexandria: a relaxed CsSnAu crystal (PBE-GGA).

Summary:
Energy relative to the elements: -0.2131 eV/atom
SG: P3m1
Magnetization: 0.0009 μB per atom
Density of states at the Fermi level: 0.953 states/eV per atom

Lattice parameters (Å, degrees): 4.6850 4.6850 6.1467 90.00 90.00 120.00
Last column: nearest neighbours and their distance in Å.
Fractional positions:
1 Cs 0.0000 0.0000 0.0000  6 Au 4.09-4.10, 6 Sn 4.09-4.10
2 Sn 0.3333 0.6667 0.4995  3 Au 2.70
3 Au 0.6667 0.3333 0.4987  3 Sn 2.70


Entry from Alexandria: a relaxed ErCuGe2S6 crystal (PBE-GGA).

Summary:
SG: C2/c
Magnetization: 0.0000 μB per atom

Lattice parameters (Å, degrees): 8.5856 8.5856 6.6083 104.69 104.69 85.01
Last column: nearest neighbours and their distance in Å.
Fractional positions:
1 Er 0.1286 0.8714 0.7500  6 S 2.68-2.88
2 Er 0.8714 0.1286 0.2500  6 S 2.68-2.88
3 Cu 0.2057 0.7943 0.2500  4 S 2.31-2.39
4 Cu 0.7943 0.2057 0.7500  4 S 2.31-2.39
5 Ge 0.2298 0.3843 0.7773  4 S 2.23-2.28
6 Ge 0.3843 0.2298 0.2773  4 S 2.23-2.28
7 Ge 0.6157 0.7702 0.7227  4 S 2.23-2.28
8 Ge 0.7702 0.6157 0.2227  4 S 2.23-2.28
9 S 0.0486 0.1825 0.6577  1 Ge 2.28, 1 Cu 2.39
10 S 0.1205 0.6198 0.9174  1 Ge 2.23, 1 Cu 2.31
11 S 0.1825 0.0486 0.1577  1 Ge 2.28, 1 Cu 2.39
12 S 0.3003 0.4465 0.5005  2 Ge 2.25-2.26
13 S 0.3802 0.8795 0.5826  1 Ge 2.23, 1 Cu 2.31
14 S 0.4465 0.3003 0.0005  2 Ge 2.25-2.26
15 S 0.5535 0.6997 0.9995  2 Ge 2.25-2.26
16 S 0.6198 0.1205 0.4174  1 Ge 2.23, 1 Cu 2.31
17 S 0.6997 0.5535 0.4995  2 Ge 2.25-2.26
18 S 0.8175 0.9514 0.8423  1 Ge 2.28, 1 Cu 2.39
19 S 0.8795 0.3802 0.0826  1 Ge 2.23, 1 Cu 2.31
20 S 0.9514 0.8175 0.3423  1 Ge 2.28, 1 Cu 2.39


no.,final energy (eV per cell)
1,-20.133
2,-27.269
3,-8.773
4,-98.911